Pb3Au4 | PBE-GGA | relaxed

Geometry as CIF:
```
data_Pb3Au4
_chemical_formula_sum 'Pb6 Au8'
_space_group_name_H-M_alt 'P 1'
_space_group_IT_number 1
_cell_length_a 4.0733
_cell_length_b 5.9699
_cell_length_c 14.8263
_cell_angle_alpha 90.00
_cell_angle_beta 90.00
_cell_angle_gamma 109.94
loop_
_space_group_symop_operation_xyz
'x,y,z'
loop_
_atom_site_label
_atom_site_fract_x
_atom_site_fract_y
_atom_site_fract_z
Au1 0.0012 0.0023 0.0004
Au2 0.0012 0.0024 0.5003
Au3 0.6060 0.2144 0.6032
Au4 0.6061 0.2144 0.8976
Au5 0.3963 0.7901 0.1032
Au6 0.7786 0.5477 0.7503
Au7 0.2237 0.4569 0.2503
Au8 0.3962 0.7901 0.3975
Pb1 0.3191 0.6354 0.5997
Pb2 0.3191 0.6353 0.9010
Pb3 0.6832 0.3693 0.0996
Pb4 0.6832 0.3693 0.4010
Pb5 0.9660 0.9312 0.2504
Pb6 0.0365 0.0736 0.7504
```

## Properties
Density of states at the Fermi level: 4.8 states/eV/cell
Crystal system: monoclinic
Energy of formation from the pure elements: -0.069 eV per atom
ΔE to the lowest computed polymorph: 0 meV per atom


Pb2Au7 | PBE-GGA | relaxed

Geometry as CIF:
```
data_Pb2Au7
_chemical_formula_sum 'Pb4 Au14'
_space_group_name_H-M_alt 'P 1'
_space_group_IT_number 1
_cell_length_a 5.7167
_cell_length_b 5.7167
_cell_length_c 14.2734
_cell_angle_alpha 78.45
_cell_angle_beta 78.45
_cell_angle_gamma 60.00
loop_
_space_group_symop_operation_xyz
'x,y,z'
loop_
_atom_site_label
_atom_site_fract_x
_atom_site_fract_y
_atom_site_fract_z
Au1 0.3865 0.8917 0.3353
Au2 0.3865 0.3865 0.3353
Au3 0.2776 0.2776 0.1672
Au4 0.5000 0.5000 0.0000
Au5 0.6135 0.1083 0.6647
Au6 0.6111 0.6111 0.1668
Au7 0.1083 0.6135 0.6647
Au8 0.3889 0.3889 0.8332
Au9 0.8917 0.3865 0.3353
Au10 0.5000 0.0000 0.0000
Au11 0.5000 0.5000 0.5000
Au12 0.6135 0.6135 0.6647
Au13 0.0000 0.5000 0.0000
Au14 0.7224 0.7224 0.8328
Pb1 0.0536 0.0536 0.8391
Pb2 0.9464 0.9464 0.1609
Pb3 0.1488 0.1488 0.5535
Pb4 0.8512 0.8512 0.4465
```

## Properties
Density of states at the Fermi level: 6.5 states/eV/cell
Crystal system: trigonal
Energy of formation from the pure elements: -0.022 eV per atom


Pb4Au | PBE-GGA | relaxed

Geometry as CIF:
```
data_Pb4Au
_chemical_formula_sum 'Pb4 Au1'
_space_group_name_H-M_alt 'P 1'
_space_group_IT_number 1
_cell_length_a 5.5871
_cell_length_b 5.5871
_cell_length_c 5.5871
_cell_angle_alpha 90.00
_cell_angle_beta 90.00
_cell_angle_gamma 90.00
loop_
_space_group_symop_operation_xyz
'x,y,z'
loop_
_atom_site_label
_atom_site_fract_x
_atom_site_fract_y
_atom_site_fract_z
Pb1 0.0000 0.5000 0.5000
Pb2 0.0000 0.0000 0.0000
Pb3 0.5000 0.5000 0.0000
Pb4 0.5000 0.0000 0.5000
Au1 0.5000 0.5000 0.5000
```

## Properties
Density of states at the Fermi level: 3.7 states/eV/cell
Crystal system: cubic
Energy of formation from the pure elements: 0.270 eV per atom


PbAu5 | PBE-GGA | relaxed

Geometry as CIF:
```
data_PbAu5
_chemical_formula_sum 'Pb1 Au5'
_space_group_name_H-M_alt 'P 1'
_space_group_IT_number 1
_cell_length_a 6.3771
_cell_length_b 6.3771
_cell_length_c 4.4472
_cell_angle_alpha 90.00
_cell_angle_beta 90.00
_cell_angle_gamma 138.64
loop_
_space_group_symop_operation_xyz
'x,y,z'
loop_
_atom_site_label
_atom_site_fract_x
_atom_site_fract_y
_atom_site_fract_z
Au1 0.4723 0.5277 0.5000
Au2 0.7979 0.2021 0.5000
Au3 0.1465 0.8535 0.5000
Au4 0.3014 0.6986 0.0000
Au5 0.6431 0.3569 0.0000
Pb1 0.9722 0.0278 0.0000
```

## Properties
Density of states at the Fermi level: 1.8 states/eV/cell
Crystal system: orthorhombic
Energy of formation from the pure elements: 0.047 eV per atom


Pb3Au2 | PBE-GGA | relaxed

Geometry as CIF:
```
data_Pb3Au2
_chemical_formula_sum 'Pb3 Au2'
_space_group_name_H-M_alt 'P 1'
_space_group_IT_number 1
_cell_length_a 4.9160
_cell_length_b 4.9160
_cell_length_c 6.6504
_cell_angle_alpha 90.00
_cell_angle_beta 90.00
_cell_angle_gamma 120.00
loop_
_space_group_symop_operation_xyz
'x,y,z'
loop_
_atom_site_label
_atom_site_fract_x
_atom_site_fract_y
_atom_site_fract_z
Au1 0.6667 0.3333 0.2016
Au2 0.3333 0.6667 0.7984
Pb1 0.3333 0.6667 0.3308
Pb2 0.6667 0.3333 0.6692
Pb3 0.0000 0.0000 0.0000
```

## Properties
Density of states at the Fermi level: 2.5 states/eV/cell
Crystal system: trigonal
Energy of formation from the pure elements: -0.054 eV per atom


PbAu4 | PBE-GGA | relaxed

Geometry as CIF:
```
data_PbAu4
_chemical_formula_sum 'Pb1 Au4'
_space_group_name_H-M_alt 'P 1'
_space_group_IT_number 1
_cell_length_a 5.2816
_cell_length_b 5.2816
_cell_length_c 5.2816
_cell_angle_alpha 90.00
_cell_angle_beta 90.00
_cell_angle_gamma 90.00
loop_
_space_group_symop_operation_xyz
'x,y,z'
loop_
_atom_site_label
_atom_site_fract_x
_atom_site_fract_y
_atom_site_fract_z
Au1 0.0000 0.0000 0.0000
Au2 0.0000 0.5000 0.5000
Au3 0.5000 0.0000 0.5000
Au4 0.5000 0.5000 0.0000
Pb1 0.5000 0.5000 0.5000
```

## Properties
Density of states at the Fermi level: 2.0 states/eV/cell
Crystal system: cubic
Energy of formation from the pure elements: 0.876 eV per atom


Pb7Au6 | PBE-GGA | relaxed

Geometry as CIF:
```
data_Pb7Au6
_chemical_formula_sum 'Pb7 Au6'
_space_group_name_H-M_alt 'P 1'
_space_group_IT_number 1
_cell_length_a 9.6570
_cell_length_b 9.6570
_cell_length_c 9.6570
_cell_angle_alpha 42.19
_cell_angle_beta 42.19
_cell_angle_gamma 42.19
loop_
_space_group_symop_operation_xyz
'x,y,z'
loop_
_atom_site_label
_atom_site_fract_x
_atom_site_fract_y
_atom_site_fract_z
Au1 0.8408 0.8408 0.8408
Au2 0.0537 0.0537 0.0537
Au3 0.1592 0.1592 0.1592
Au4 0.3372 0.3372 0.3372
Au5 0.6628 0.6628 0.6628
Au6 0.9463 0.9463 0.9463
Pb1 0.4120 0.9352 0.4120
Pb2 0.5880 0.0648 0.5880
Pb3 0.0648 0.5880 0.5880
Pb4 0.4120 0.4120 0.9352
Pb5 0.5000 0.5000 0.5000
Pb6 0.9352 0.4120 0.4120
Pb7 0.5880 0.5880 0.0648
```

## Properties
Density of states at the Fermi level: 6.5 states/eV/cell
Crystal system: trigonal
Energy of formation from the pure elements: 0.222 eV per atom


Pb3Au | PBE-GGA | relaxed

Geometry as CIF:
```
data_Pb3Au
_chemical_formula_sum 'Pb3 Au1'
_space_group_name_H-M_alt 'P 1'
_space_group_IT_number 1
_cell_length_a 6.0116
_cell_length_b 6.0116
_cell_length_c 6.0116
_cell_angle_alpha 133.94
_cell_angle_beta 133.94
_cell_angle_gamma 67.19
loop_
_space_group_symop_operation_xyz
'x,y,z'
loop_
_atom_site_label
_atom_site_fract_x
_atom_site_fract_y
_atom_site_fract_z
Pb1 0.2500 0.7500 0.5000
Pb2 0.7500 0.2500 0.5000
Pb3 0.5000 0.5000 0.0000
Au1 0.0000 0.0000 0.0000
```

## Properties
Density of states at the Fermi level: 1.4 states/eV/cell
Crystal system: tetragonal
Energy of formation from the pure elements: 0.031 eV per atom


Repeat the second record exactly.
Pb2Au7 | PBE-GGA | relaxed

Geometry as CIF:
```
data_Pb2Au7
_chemical_formula_sum 'Pb4 Au14'
_space_group_name_H-M_alt 'P 1'
_space_group_IT_number 1
_cell_length_a 5.7167
_cell_length_b 5.7167
_cell_length_c 14.2734
_cell_angle_alpha 78.45
_cell_angle_beta 78.45
_cell_angle_gamma 60.00
loop_
_space_group_symop_operation_xyz
'x,y,z'
loop_
_atom_site_label
_atom_site_fract_x
_atom_site_fract_y
_atom_site_fract_z
Au1 0.3865 0.8917 0.3353
Au2 0.3865 0.3865 0.3353
Au3 0.2776 0.2776 0.1672
Au4 0.5000 0.5000 0.0000
Au5 0.6135 0.1083 0.6647
Au6 0.6111 0.6111 0.1668
Au7 0.1083 0.6135 0.6647
Au8 0.3889 0.3889 0.8332
Au9 0.8917 0.3865 0.3353
Au10 0.5000 0.0000 0.0000
Au11 0.5000 0.5000 0.5000
Au12 0.6135 0.6135 0.6647
Au13 0.0000 0.5000 0.0000
Au14 0.7224 0.7224 0.8328
Pb1 0.0536 0.0536 0.8391
Pb2 0.9464 0.9464 0.1609
Pb3 0.1488 0.1488 0.5535
Pb4 0.8512 0.8512 0.4465
```

## Properties
Density of states at the Fermi level: 6.5 states/eV/cell
Crystal system: trigonal
Energy of formation from the pure elements: -0.022 eV per atom


Repeat the sixth record exactly.
PbAu4 | PBE-GGA | relaxed

Geometry as CIF:
```
data_PbAu4
_chemical_formula_sum 'Pb1 Au4'
_space_group_name_H-M_alt 'P 1'
_space_group_IT_number 1
_cell_length_a 5.2816
_cell_length_b 5.2816
_cell_length_c 5.2816
_cell_angle_alpha 90.00
_cell_angle_beta 90.00
_cell_angle_gamma 90.00
loop_
_space_group_symop_operation_xyz
'x,y,z'
loop_
_atom_site_label
_atom_site_fract_x
_atom_site_fract_y
_atom_site_fract_z
Au1 0.0000 0.0000 0.0000
Au2 0.0000 0.5000 0.5000
Au3 0.5000 0.0000 0.5000
Au4 0.5000 0.5000 0.0000
Pb1 0.5000 0.5000 0.5000
```

## Properties
Density of states at the Fermi level: 2.0 states/eV/cell
Crystal system: cubic
Energy of formation from the pure elements: 0.876 eV per atom


Q: Which of these has the highest energy of formation from the pure elements?
A: PbAu4


Q: Which of these has the lowest energy of formation from the pure elements?
A: Pb3Au4